# RbTiCu2 (PBE-GGA, optimized geometry)
# density of states at the Fermi level	6.31	states/eV/f.u.
data_RbTiCu2
_chemical_formula_sum 'Rb4 Ti4 Cu8'
_symmetry_space_group_name_H-M 'F m -3 m'
_symmetry_Int_Tables_number 225
_symmetry_space_group_name_Hall '-F 4 2 3'
_cell_length_a 6.970
_cell_length_b 6.970
_cell_length_c 6.970
_cell_angle_alpha 90.00
_cell_angle_beta 90.00
_cell_angle_gamma 90.00
loop_
_atom_site_label
_atom_site_type_symbol
_atom_site_fract_x
_atom_site_fract_y
_atom_site_fract_z
_atom_site_occupancy
Rb1 Rb 0.000 0.000 0.000 1
Ti1 Ti 0.000 0.000 0.500 1
Cu1 Cu 0.250 0.250 0.250 1

---

# RbTiCu2 (PBE-GGA, optimized geometry)
# density of states at the Fermi level	5.18	states/eV/f.u.
data_RbTiCu2
_chemical_formula_sum 'Rb4 Ti4 Cu8'
_symmetry_space_group_name_H-M 'I 41/a m d'
_symmetry_Int_Tables_number 141
_cell_length_a 5.145
_cell_length_b 5.145
_cell_length_c 17.277
_cell_angle_alpha 90.00
_cell_angle_beta 90.00
_cell_angle_gamma 90.00
loop_
_symmetry_equiv_pos_as_xyz
'x,y,z'
'-x,-y,-z'
'-y+1/4,x+3/4,z+1/4'
'y+1/4,-x+3/4,-z+1/4'
'-x+1/2,-y,z+1/2'
'x+1/2,y,-z+1/2'
'y+1/4,-x+1/4,z+3/4'
'-y+1/4,x+1/4,-z+3/4'
'x,-y,-z'
'-x,y,z'
'-y+1/4,-x+1/4,-z+3/4'
'y+1/4,x+1/4,z+3/4'
'-x+1/2,y,-z+1/2'
'x+1/2,-y,z+1/2'
'y+1/4,x+3/4,-z+1/4'
'-y+1/4,-x+3/4,z+1/4'
'x+1/2,y+1/2,z+1/2'
'-x+1/2,-y+1/2,-z+1/2'
'-y+3/4,x+1/4,z+3/4'
'y+3/4,-x+1/4,-z+3/4'
'-x,-y+1/2,z'
'x,y+1/2,-z'
'y+3/4,-x+3/4,z+1/4'
'-y+3/4,x+3/4,-z+1/4'
'x+1/2,-y+1/2,-z+1/2'
'-x+1/2,y+1/2,z+1/2'
'-y+3/4,-x+3/4,-z+1/4'
'y+3/4,x+3/4,z+1/4'
'-x,y+1/2,-z'
'x,-y+1/2,z'
'y+3/4,x+1/4,-z+3/4'
'-y+3/4,-x+1/4,z+3/4'
loop_
_atom_site_label
_atom_site_type_symbol
_atom_site_fract_x
_atom_site_fract_y
_atom_site_fract_z
_atom_site_occupancy
Rb1 Rb 0.000 0.250 0.375 1
Ti1 Ti 0.000 0.250 0.875 1
Cu1 Cu 0.000 0.000 0.000 1

---

# Rb2Ti2Cu (PBE-GGA, optimized geometry)
# density of states at the Fermi level	2.17	states/eV/f.u.
data_Rb2Ti2Cu
_chemical_formula_sum 'Rb4 Ti4 Cu2'
_symmetry_space_group_name_H-M 'P 4/m b m'
_symmetry_Int_Tables_number 127
_symmetry_space_group_name_Hall '-P 4 2ab'
_cell_length_a 6.568
_cell_length_b 6.568
_cell_length_c 6.534
_cell_angle_alpha 90.00
_cell_angle_beta 90.00
_cell_angle_gamma 90.00
loop_
_atom_site_label
_atom_site_type_symbol
_atom_site_fract_x
_atom_site_fract_y
_atom_site_fract_z
_atom_site_occupancy
Rb1 Rb 0.219 0.281 0.000 1
Ti1 Ti 0.123 0.623 0.500 1
Cu1 Cu 0.000 0.000 0.500 1

---

# RbTiCu3 (PBE-GGA, optimized geometry)
# density of states at the Fermi level	11.88	states/eV/f.u.
data_RbTiCu3
_chemical_formula_sum 'Rb1 Ti1 Cu3'
_symmetry_space_group_name_H-M 'P m -3 m'
_symmetry_Int_Tables_number 221
_symmetry_space_group_name_Hall '-P 4 2 3'
_cell_length_a 4.993
_cell_length_b 4.993
_cell_length_c 4.993
_cell_angle_alpha 90.00
_cell_angle_beta 90.00
_cell_angle_gamma 90.00
loop_
_atom_site_label
_atom_site_type_symbol
_atom_site_fract_x
_atom_site_fract_y
_atom_site_fract_z
_atom_site_occupancy
Rb1 Rb 0.000 0.000 0.000 1
Ti1 Ti 0.500 0.500 0.500 1
Cu1 Cu 0.000 0.000 0.500 1

---

# RbTi2Cu (PBE-GGA, optimized geometry)
# density of states at the Fermi level	9.64	states/eV/f.u.
data_RbTi2Cu
_chemical_formula_sum 'Rb4 Ti8 Cu4'
_symmetry_space_group_name_H-M 'F m -3 m'
_symmetry_Int_Tables_number 225
_symmetry_space_group_name_Hall '-F 4 2 3'
_cell_length_a 6.756
_cell_length_b 6.756
_cell_length_c 6.756
_cell_angle_alpha 90.00
_cell_angle_beta 90.00
_cell_angle_gamma 90.00
loop_
_atom_site_label
_atom_site_type_symbol
_atom_site_fract_x
_atom_site_fract_y
_atom_site_fract_z
_atom_site_occupancy
Rb1 Rb 0.000 0.000 0.000 1
Ti1 Ti 0.250 0.250 0.250 1
Cu1 Cu 0.000 0.000 0.500 1

---

# RbZr2TiCu (PBE-GGA, optimized geometry)
# density of states at the Fermi level	5.38	states/eV/f.u.
data_RbZr2TiCu
_chemical_formula_sum 'Rb1 Zr2 Ti1 Cu1'
_symmetry_space_group_name_H-M 'P 4/m m m'
_symmetry_Int_Tables_number 123
_symmetry_space_group_name_Hall '-P 4 2'
_cell_length_a 5.130
_cell_length_b 5.130
_cell_length_c 4.941
_cell_angle_alpha 90.00
_cell_angle_beta 90.00
_cell_angle_gamma 90.00
loop_
_atom_site_label
_atom_site_type_symbol
_atom_site_fract_x
_atom_site_fract_y
_atom_site_fract_z
_atom_site_occupancy
Rb1 Rb 0.000 0.000 0.000 1
Zr1 Zr 0.000 0.500 0.500 1
Ti1 Ti 0.500 0.500 0.000 1
Cu1 Cu 0.500 0.500 0.500 1

---

| no. | calculated total energy (eV per atom) | ΔE_f (eV/atom) |
| --- | --- | --- |
| 1 | -3.216 | 1.0480 |
| 2 | -3.389 | 0.8748 |
| 3 | -3.421 | 0.9436 |
| 4 | -2.211 | 2.0197 |
| 5 | -3.965 | 1.2485 |
| 6 | -5.045 | 0.9657 |